# 1
DFT (PBE) results for a relaxed Tb4CdGa2Ru crystal.

a b c (Å): 5.0854 5.0854 24.7719
angles (deg): 90.00 90.00 120.00
Space group R-3m (No. 166, hexagonal axes)
Unique sites:
Tb (0.0000, 0.0000, 0.1163) [6 per cell]
Tb (0.0000, 0.0000, 0.3688) [6 per cell]
Cd (0.0000, 0.0000, 0.5000) [3 per cell]
Ga (0.0000, 0.0000, 0.2439) [6 per cell]
Ru (0.0000, 0.0000, 0.0000) [3 per cell]

Summary:
The crystal system is trigonal. For the calculated formation energy, the calculation gives -0.469 eV per atom.

---

# 2
DFT (PBE) results for a relaxed Y4CdGaRu2 crystal.

a b c (Å): 4.9904 4.9904 24.5497
angles (deg): 90.00 90.00 120.00
Space group R-3m (No. 166, hexagonal axes)
Unique sites:
Y (0.0000, 0.0000, 0.1230) [6 per cell]
Y (0.0000, 0.0000, 0.3735) [6 per cell]
Cd (0.0000, 0.0000, 0.5000) [3 per cell]
Ga (0.0000, 0.0000, 0.0000) [3 per cell]
Ru (0.0000, 0.0000, 0.2500) [6 per cell]

Summary:
The crystal system is trigonal. For the calculated formation energy, the calculation gives -0.369 eV per atom.

---

# 3
DFT (PBE) results for a relaxed Zr2CdGaRu crystal.

a b c (Å): 5.120 5.120 4.726
angles (deg): 90.00 90.00 90.00
Space group P4/mmm (No. 123)
Unique sites:
Zr (0.000, 0.500, 0.000) [2 per cell]
Cd (0.000, 0.000, 0.500) [1 per cell]
Ga (0.000, 0.000, 0.000) [1 per cell]
Ru (0.500, 0.500, 0.500) [1 per cell]

Summary:
The crystal system is tetragonal. For the calculated formation energy, the calculation gives 0.895 eV per atom.

---

# 4
DFT (PBE) results for a relaxed Cd2GaS2 crystal.

a b c (Å): 5.055 5.055 9.304
angles (deg): 90.00 90.00 90.00
Space group I4/mmm (No. 139)
Unique sites:
Cd (0.000, 0.000, 0.153) [4 per cell]
Ga (0.000, 0.000, 0.500) [2 per cell]
S (0.000, 0.500, 0.250) [4 per cell]

Summary:
The crystal system is tetragonal. For the offset from the most stable computed form, the calculation gives 0.000 eV/f.u. The energy relative to the elements, uncorrected comes out at -0.51 eV per formula unit.

---

# 5
DFT (PBE) results for a relaxed CdGa2S4 crystal.

a b c (Å): 5.270 5.270 5.882
angles (deg): 90.00 90.00 90.00
Space group P-42m (No. 111)
Unique sites:
Cd (0.000, 0.000, 0.000) [1 per cell]
Ga (0.000, 0.500, 0.500) [2 per cell]
S (0.270, 0.270, 0.266) [4 per cell]

Summary:
The crystal system is tetragonal. The energy relative to the elements, uncorrected comes out at -4.68 eV per formula unit.

---

# 6
DFT (PBE) results for a relaxed CdGaS4 crystal.

a b c (Å): 4.659 25.758 6.379
angles (deg): 90.00 96.13 90.00
Space group C2/c (No. 15)
Unique sites:
Cd (0.000, 0.120, 0.250) [4 per cell]
Ga (0.000, 0.500, 0.250) [4 per cell]
S (0.184, 0.302, 0.844) [8 per cell]
S (0.212, 0.448, 0.521) [8 per cell]

Summary:
The crystal system is monoclinic. The energy relative to the elements, uncorrected comes out at -1.42 eV per formula unit.

---

# 7
DFT (PBE) results for a relaxed Cd3GaS crystal.

a b c (Å): 5.109 5.109 5.109
angles (deg): 90.00 90.00 90.00
Space group Pm-3m (No. 221)
Unique sites:
Cd (0.000, 0.000, 0.500) [3 per cell]
Ga (0.000, 0.000, 0.000) [1 per cell]
S (0.500, 0.500, 0.500) [1 per cell]

Summary:
The crystal system is cubic. For the offset from the most stable computed form, the calculation gives 0.000 eV/f.u. The energy relative to the elements, uncorrected comes out at 1.72 eV per formula unit.

---

# 8
DFT (PBE) results for a relaxed Cd3Ga5S12 crystal.

a b c (Å): 15.052 15.052 15.052
angles (deg): 90.00 90.00 90.00
Space group Ia-3d (No. 230)
Unique sites:
Cd (0.000, 0.250, 0.125) [24 per cell]
Ga (0.000, 0.000, 0.000) [16 per cell]
Ga (0.000, 0.250, 0.375) [24 per cell]
S (0.025, 0.058, 0.651) [96 per cell]

Summary:
The crystal system is cubic. The energy relative to the elements, uncorrected comes out at -6.55 eV per formula unit.

---

# 9
DFT (PBE) results for a relaxed Cd3GaS crystal.

a b c (Å): 5.201 5.201 5.201
angles (deg): 90.00 90.00 90.00
Space group Pm-3m (No. 221)
Unique sites:
Cd (0.000, 0.000, 0.500) [3 per cell]
Ga (0.500, 0.500, 0.500) [1 per cell]
S (0.000, 0.000, 0.000) [1 per cell]

Summary:
The crystal system is cubic. For the offset from the most stable computed form, the calculation gives 0.100 eV/f.u. The energy relative to the elements, uncorrected comes out at 1.82 eV per formula unit.

---

# 10
DFT (PBE) results for a relaxed CdGaS2 crystal.

a b c (Å): 3.5901 3.5901 23.5982
angles (deg): 90.00 90.00 120.00
Space group R-3m (No. 166, hexagonal axes)
Unique sites:
Cd (0.0000, 0.0000, 0.0000) [3 per cell]
Ga (0.0000, 0.0000, 0.5000) [3 per cell]
S (0.0000, 0.0000, 0.1101) [6 per cell]

Summary:
The crystal system is trigonal. The energy relative to the elements, uncorrected comes out at -1.19 eV per formula unit.

---

# 11
DFT (PBE) results for a relaxed Cd2Ga2S crystal.

a b c (Å): 7.175 7.175 4.398
angles (deg): 90.00 90.00 90.00
Space group P4/mbm (No. 127)
Unique sites:
Cd (0.146, 0.354, 0.000) [4 per cell]
Ga (0.152, 0.652, 0.500) [4 per cell]
S (0.000, 0.000, 0.000) [2 per cell]

Summary:
The crystal system is tetragonal. For the offset from the most stable computed form, the calculation gives 0.148 eV/f.u. The energy relative to the elements, uncorrected comes out at 0.40 eV per formula unit.

---

# 12
DFT (PBE) results for a relaxed CdGaS2 crystal.

a b c (Å): 5.794 5.794 12.184
angles (deg): 90.00 90.00 90.00
Space group I-42d (No. 122)
Unique sites:
Cd (0.000, 0.000, 0.000) [4 per cell]
Ga (0.000, 0.000, 0.500) [4 per cell]
S (0.233, 0.250, 0.625) [8 per cell]

Summary:
The crystal system is tetragonal. The energy relative to the elements, uncorrected comes out at -1.73 eV per formula unit.